one.
Material: InBiBr2
Method: DFT, GGA-PBE
State: optimized geometry

DOS(E_F): 4.19 states/eV/cell
space group: I-42d, No. 122
magnetization: 0.000 μB per atom

```
data_InBiBr2
_chemical_formula_sum 'In2 Bi2 Br4'
_cell_length_a 10.7897
_cell_length_b 10.7897
_cell_length_c 10.7897
_cell_angle_alpha 152.94
_cell_angle_beta 152.94
_cell_angle_gamma 38.65
_symmetry_space_group_name_H-M 'P 1'
_symmetry_Int_Tables_number 1
loop_
_symmetry_equiv_pos_as_xyz
'x,y,z'
loop_
_atom_site_label
_atom_site_type_symbol
_atom_site_fract_x
_atom_site_fract_y
_atom_site_fract_z
In1 In 0.0000 0.0000 0.0000
In2 In 0.7500 0.2500 0.5000
Bi1 Bi 0.2500 0.7500 0.5000
Bi2 Bi 0.5000 0.5000 0.0000
Br1 Br 0.1394 0.6250 0.0144
Br2 Br 0.3750 0.3894 0.5144
Br3 Br 0.6106 0.1250 0.9856
Br4 Br 0.8750 0.8606 0.4856
```

---

two.
Material: InBiBr2
Method: DFT, GGA-PBE
State: optimized geometry

DOS(E_F): 0.78 states/eV/cell
space group: R-3m, No. 166
magnetization: 0.000 μB per atom

```
data_InBiBr2
_chemical_formula_sum 'In1 Bi1 Br2'
_cell_length_a 10.6200
_cell_length_b 10.6200
_cell_length_c 10.6200
_cell_angle_alpha 20.85
_cell_angle_beta 20.85
_cell_angle_gamma 20.85
_symmetry_space_group_name_H-M 'P 1'
_symmetry_Int_Tables_number 1
loop_
_symmetry_equiv_pos_as_xyz
'x,y,z'
loop_
_atom_site_label
_atom_site_type_symbol
_atom_site_fract_x
_atom_site_fract_y
_atom_site_fract_z
In1 In 0.0000 0.0000 0.0000
Bi1 Bi 0.5000 0.5000 0.5000
Br1 Br 0.4079 0.4079 0.4079
Br2 Br 0.5921 0.5921 0.5921
```

---

Which of them is most stable, and which least? Most stable: two; least stable: one.